# 1
First-principles (PBE) data for crystalline ZrSc2Se at its relaxed geometry, as listed in Alexandria via LeMat-Bulk.

total DFT energy (no corrections): -6.52 eV/atom
DOS at the Fermi energy: 1.4311 states/eV/atom
formation energy from raw total energies: -0.35 eV per atom

```
ZrSc2Se
1.0
-1.458 -4.725 2.723
3.694 -2.069 3.733
-2.364 5.006 -1.104
Sc Se Zr
2 1 1
Cartesian
0.000 0.000 0.000 Sc
1.118 -3.397 3.228 Sc
1.224 -0.230 2.929 Se
-1.352 -1.558 2.424 Zr
```


# 2
First-principles (PBE) data for crystalline SrCoTc at its relaxed geometry, as listed in Alexandria via LeMat-Bulk.

total DFT energy (no corrections): -5.86 eV/atom
DOS at the Fermi energy: 0.9785 states/eV/atom
ΔH_f (0 K): 0.521 eV/atom

```
SrCoTc
1.0
-4.937 -2.499 -0.715
1.524 -3.431 1.470
-3.045 3.065 10.307
Sr Co Tc
4 4 4
Cartesian
-5.232 -1.989 3.543 Sr
-4.432 -1.383 9.658 Sr
-1.226 -0.876 7.519 Sr
-2.026 -1.482 1.404 Sr
-3.075 -0.542 4.684 Co
-2.122 0.141 10.821 Co
-3.383 -2.323 6.378 Co
-4.336 -3.007 0.241 Co
-2.607 1.518 9.009 Tc
-1.957 -2.557 4.353 Tc
-3.851 -4.384 2.053 Tc
-4.501 -0.308 6.709 Tc
```


# 3
First-principles (PBE) data for crystalline Sm2HgPdO5 at its relaxed geometry, as listed in Alexandria via LeMat-Bulk.

total DFT energy (no corrections): -6.30 eV/atom
DOS at the Fermi energy: 0.8359 states/eV/atom
formation energy from raw total energies: -1.89 eV per atom

```
Sm2HgPdO5
1.0
5.735 0.000 0.000
0.000 6.779 0.000
0.000 0.000 6.779
Sm Hg Pd O
4 2 2 10
Cartesian
2.867 4.563 1.173 Sm
2.867 1.173 2.217 Sm
2.867 5.606 4.563 Sm
2.867 2.217 5.606 Sm
0.000 3.390 3.390 Hg
0.000 0.000 0.000 Hg
0.000 0.000 3.390 Pd
0.000 3.390 0.000 Pd
2.867 3.390 3.390 O
2.867 0.000 0.000 O
1.483 0.937 4.327 O
1.483 5.842 2.453 O
1.483 2.453 0.937 O
1.483 4.327 5.842 O
4.251 0.937 4.327 O
4.251 4.327 5.842 O
4.251 5.842 2.453 O
4.251 2.453 0.937 O
```


# 4
First-principles (PBE) data for crystalline ZnIn2Si2Rh5 at its relaxed geometry, as listed in Alexandria via LeMat-Bulk.

total DFT energy (no corrections): -5.92 eV/atom
DOS at the Fermi energy: 0.3549 states/eV/atom
formation energy from raw total energies: -0.48 eV per atom

```
ZnIn2Si2Rh5
1.0
3.323 0.000 0.000
0.000 9.645 0.000
0.000 0.000 9.645
Zn In Si Rh
2 4 4 10
Cartesian
0.000 0.000 0.000 Zn
0.000 4.823 4.823 Zn
0.000 6.477 1.654 In
0.000 3.168 7.991 In
0.000 1.654 3.168 In
0.000 7.991 6.477 In
0.000 1.258 6.081 Si
0.000 8.387 3.564 Si
0.000 6.081 8.387 Si
0.000 3.564 1.258 Si
1.662 1.968 0.761 Rh
1.662 7.677 8.884 Rh
1.662 0.761 7.677 Rh
1.662 6.791 4.062 Rh
1.662 8.884 1.968 Rh
1.662 2.854 5.583 Rh
1.662 5.583 6.791 Rh
1.662 4.062 2.854 Rh
1.662 4.823 0.000 Rh
1.662 0.000 4.823 Rh
```


# 5
First-principles (PBE) data for crystalline Sm4Ho3Sc at its relaxed geometry, as listed in Alexandria via LeMat-Bulk.

total DFT energy (no corrections): -4.77 eV/atom
DOS at the Fermi energy: 1.5313 states/eV/atom
ΔH_f (0 K): 0.098 eV/atom

```
Sm4Ho3Sc
1.0
7.754 0.000 -4.066
-2.132 7.455 -4.066
-0.233 -0.309 8.982
Sc Ho Sm
2 6 8
Cartesian
0.000 0.000 0.000 Sc
2.811 3.727 -4.066 Sc
4.100 5.437 -1.608 Ho
1.289 1.709 2.458 Ho
5.842 2.606 -4.876 Ho
-0.220 4.849 -3.257 Ho
3.232 6.333 -6.099 Ho
2.389 1.122 -2.033 Ho
1.514 7.149 0.065 Sm
-0.169 4.917 2.500 Sm
4.135 3.421 1.282 Sm
7.095 1.189 1.282 Sm
3.875 -0.003 0.785 Sm
5.558 2.229 -1.650 Sm
1.253 3.724 -0.432 Sm
-1.707 5.956 -0.432 Sm
```


# 6
First-principles (PBE) data for crystalline KPrPbCl6 at its relaxed geometry, as listed in Alexandria via LeMat-Bulk.

total DFT energy (no corrections): -4.13 eV/atom
DOS at the Fermi energy: 0.0000 states/eV/atom
formation energy from raw total energies: -1.84 eV per atom

```
KPrPbCl6
1.0
-2.348 -2.064 6.124
5.657 -3.807 0.886
6.095 10.419 5.848
K Pr Pb Cl
2 2 2 12
Cartesian
4.695 2.262 6.422 K
6.088 10.407 5.841 K
6.732 5.744 8.376 Pr
2.030 3.470 1.947 Pr
2.673 -1.194 4.483 Pb
4.066 6.951 3.901 Pb
7.212 1.654 4.724 Cl
2.115 2.764 8.060 Cl
7.110 8.484 8.043 Cl
8.312 6.352 10.589 Cl
5.183 -1.535 3.012 Cl
0.376 -0.489 6.157 Cl
5.166 5.370 6.108 Cl
6.488 3.025 8.909 Cl
4.375 6.131 9.812 Cl
8.957 5.133 6.814 Cl
4.326 -0.833 6.888 Cl
2.911 1.677 3.891 Cl
```


# 7
First-principles (PBE) data for crystalline Np2Ge3Pt4Rh at its relaxed geometry, as listed in Alexandria via LeMat-Bulk.

total DFT energy (no corrections): -7.62 eV/atom
DOS at the Fermi energy: 1.9002 states/eV/atom
ΔH_f (0 K): -0.491 eV/atom

```
Np2Ge3Pt4Rh
1.0
3.990 0.000 0.000
0.000 3.990 0.000
0.000 0.000 11.699
Np Ge Pt Rh
2 3 4 1
Cartesian
1.995 0.000 3.057 Np
0.000 1.995 8.642 Np
0.000 0.000 5.850 Ge
1.995 0.000 10.155 Ge
0.000 1.995 1.544 Ge
1.995 1.995 0.000 Pt
0.000 0.000 0.000 Pt
1.995 0.000 7.728 Pt
0.000 1.995 3.972 Pt
1.995 1.995 5.850 Rh
```


# 8
First-principles (PBE) data for crystalline Rb2GaPtO4 at its relaxed geometry, as listed in Alexandria via LeMat-Bulk.

total DFT energy (no corrections): -5.00 eV/atom
DOS at the Fermi energy: 0.4954 states/eV/atom
formation energy from raw total energies: -1.14 eV per atom

```
Rb2GaPtO4
1.0
5.874 0.000 0.000
2.937 6.927 0.000
2.937 0.000 10.160
Rb Ga Pt O
4 2 2 8
Cartesian
2.937 0.000 6.602 Rb
5.874 0.000 3.558 Rb
7.342 3.464 8.639 Rb
7.342 3.464 1.522 Rb
7.342 3.464 5.080 Ga
0.000 0.000 0.000 Ga
4.405 3.464 5.080 Pt
2.937 0.000 0.000 Pt
4.352 5.643 0.043 O
4.352 1.285 10.118 O
10.332 5.643 10.118 O
4.458 1.285 0.043 O
5.927 4.748 5.037 O
5.927 2.179 5.123 O
8.757 4.748 5.123 O
2.884 2.179 5.037 O
```


# 9
First-principles (PBE) data for crystalline InCoPb2 at its relaxed geometry, as listed in Alexandria via LeMat-Bulk.

total DFT energy (no corrections): -4.09 eV/atom
DOS at the Fermi energy: 0.6858 states/eV/atom
ΔH_f (0 K): 0.228 eV/atom

```
InCoPb2
1.0
3.379 0.000 0.000
0.000 6.474 0.329
0.000 4.268 4.878
Co In Pb
1 1 2
Cartesian
0.000 5.406 2.621 Co
1.690 7.227 3.503 In
0.000 10.715 5.194 Pb
1.690 3.505 1.699 Pb
```